Here is crystalline Pm3Se5 at its relaxed geometry from Alexandria via LeMat-Bulk. Energies are from PBE.

The calculation puts the uncorrected formation energy at -1.741 eV/atom. As for the density: 6.7 Mg/m³.

The structure belongs to space group P6_3/mcm (No. 193); the cell edges are 8.9292, 8.9292 and 5.9196 Å and the angles 90.00°, 90.00° and 120.00°. The inequivalent atoms are Pm at (0.0000, 0.3666, 0.2500), Se at (0.0000, 0.2796, 0.7500) and Se at (0.3333, 0.6667, 0.0000).



Here is crystalline PmSe at its relaxed geometry from Alexandria via LeMat-Bulk. Energies are from PBE.

The calculation puts the uncorrected formation energy at -1.829 eV/atom. The energy above the most stable polymorph in this dataset is 0.000 kcal/mol of atoms. As for the density: 7.1 Mg/m³.

The structure belongs to space group Fm-3m (No. 225); the cell edges are 5.937, 5.937 and 5.937 Å and the angles 90.00°, 90.00° and 90.00°. The inequivalent atoms are Pm at (0.000, 0.000, 0.000) and Se at (0.000, 0.000, 0.500).



Here is crystalline Pm4Se at its relaxed geometry from Alexandria via LeMat-Bulk. Energies are from PBE.

The calculation puts the uncorrected formation energy at -0.502 eV/atom. As for the density: 6.2 Mg/m³.

The structure belongs to space group Pm-3m (No. 221); the cell edges are 5.617, 5.617 and 5.617 Å and the angles 90.00°, 90.00° and 90.00°. The inequivalent atoms are Pm at (0.000, 0.000, 0.000), Pm at (0.000, 0.500, 0.500) and Se at (0.500, 0.500, 0.500).



Here is crystalline Pm5Se4 at its relaxed geometry from Alexandria via LeMat-Bulk. Energies are from PBE.

The calculation puts the uncorrected formation energy at -1.426 eV/atom. As for the density: 7.7 Mg/m³.

The structure belongs to space group P6_3/mcm (No. 193); the cell edges are 8.8821, 8.8821 and 6.5650 Å and the angles 90.00°, 90.00° and 120.00°. The inequivalent atoms are Pm at (0.0000, 0.2703, 0.2500), Pm at (0.3333, 0.6667, 0.0000), Se at (0.0000, 0.0000, 0.0000) and Se at (0.0000, 0.3887, 0.7500).



Here are the calculated final energy numbers, same order: -91.20; -47.58; -25.00; -101.05 (eV for the cell shown).